Record 1
This record from Alexandria describes ReIr2Rh after structural relaxation. The functional is GGA-PBEsol.

Calculated values
- Energy above the most stable polymorph in this dataset: 49 meV/atom
- Size of the total moment: 0.0 μB/cell
- Calculated formation energy: -89 meV per atom

abc: 4.6902 4.6902 4.6902
angles: 131.96 131.96 70.29
Last column: nearest neighbours and their distance in Å.
Element x y z (fractional)
Re: 0.0000 0.0000 0.0000  8 Ir 2.70-2.71, 4 Rh 2.71
Ir: 0.5000 0.5000 0.0000  4 Re 2.70, 4 Rh 2.71, 4 Ir 2.71
Ir: 0.7500 0.2500 0.5000  4 Rh 2.70, 4 Re 2.71, 4 Ir 2.71
Rh: 0.2500 0.7500 0.5000  8 Ir 2.70-2.71, 4 Re 2.71

***

Record 2
This record from Alexandria describes Re2IrRh after structural relaxation. The functional is GGA-PBEsol.

Calculated values
- Energy above the most stable polymorph in this dataset: 0 meV/atom
- Size of the total moment: 0.0 μB/cell
- Calculated formation energy: -253 meV per atom

abc: 2.7046 4.3451 4.7814
angles: 90.00 90.00 90.00
Last column: nearest neighbours and their distance in Å.
Element x y z (fractional)
Re: 0.0000 0.0000 0.0000  4 Re 2.68-2.70, 4 Rh 2.68, 4 Ir 2.74-2.75
Re: 0.0000 0.5000 0.3277  4 Re 2.68-2.70, 4 Ir 2.69, 4 Rh 2.73-2.76
Ir: 0.5000 0.0000 0.5018  2 Rh 2.69, 8 Re 2.69-2.75, 2 Ir 2.70
Rh: 0.5000 0.5000 0.8321  8 Re 2.68-2.76, 2 Ir 2.69, 2 Rh 2.70